# 1
DFT (GGA-PBE) results for a geometry-optimized BaAcAs2Pd2 structure.

Properties
symmetry	P-3m1, No. 164

a = 4.449 Å, b = 4.449 Å, c = 8.992 Å
α = 90.00°, β = 90.00°, γ = 120.00°
Positions (direct):
Ba1 0.000 0.000 0.000
Ac1 0.000 0.000 0.500
As1 0.333 0.667 0.264
As2 0.667 0.333 0.736
Pd1 0.333 0.667 0.736
Pd2 0.667 0.333 0.264

=====

# 2
DFT (GGA-PBE) results for a geometry-optimized BaAcAs2Pt4 structure.

Properties
symmetry	P4/mmm, No. 123

a = 4.701 Å, b = 4.701 Å, c = 9.271 Å
α = 90.00°, β = 90.00°, γ = 90.00°
Positions (direct):
Ba1 0.000 0.000 0.000
Ac1 0.000 0.000 0.500
As1 0.500 0.500 0.195
As2 0.500 0.500 0.805
Pt1 0.000 0.500 0.272
Pt2 0.000 0.500 0.728
Pt3 0.500 0.000 0.272
Pt4 0.500 0.000 0.728

=====

# 3
DFT (GGA-PBE) results for a geometry-optimized BaAcAsS structure.

Properties
symmetry	R3m, No. 160
raw formation energy	-1.73	eV per atom

a = 4.559 Å, b = 4.559 Å, c = 22.473 Å
α = 90.00°, β = 90.00°, γ = 120.00°
Positions (direct):
Ba1 0.000 0.000 0.000
Ba2 0.333 0.667 0.667
Ba3 0.667 0.333 0.333
Ac1 0.000 0.000 0.499
Ac2 0.333 0.667 0.166
Ac3 0.667 0.333 0.832
As1 0.000 0.000 0.757
As2 0.333 0.667 0.423
As3 0.667 0.333 0.090
S1 0.000 0.000 0.243
S2 0.333 0.667 0.910
S3 0.667 0.333 0.576

=====

# 4
DFT (GGA-PBE) results for a geometry-optimized BaAcAs2S8 structure.

Properties
symmetry	P-3, No. 147
raw formation energy	-0.69	eV per atom

a = 6.191 Å, b = 6.191 Å, c = 9.900 Å
α = 90.00°, β = 90.00°, γ = 120.00°
Positions (direct):
Ba1 0.000 0.000 0.000
Ac1 0.000 0.000 0.500
As1 0.333 0.667 0.769
As2 0.667 0.333 0.231
S1 0.024 0.655 0.295
S2 0.333 0.667 0.988
S3 0.345 0.369 0.295
S4 0.369 0.024 0.705
S5 0.631 0.976 0.295
S6 0.655 0.631 0.705
S7 0.667 0.333 0.012
S8 0.976 0.345 0.705

=====

# 5
DFT (GGA-PBE) results for a geometry-optimized BaAcAsSe structure.

Properties
symmetry	R3m, No. 160
raw formation energy	-1.71	eV per atom

a = 4.622 Å, b = 4.622 Å, c = 22.975 Å
α = 90.00°, β = 90.00°, γ = 120.00°
Positions (direct):
Ba1 0.000 0.000 0.000
Ba2 0.333 0.667 0.667
Ba3 0.667 0.333 0.333
Ac1 0.000 0.000 0.494
Ac2 0.333 0.667 0.160
Ac3 0.667 0.333 0.827
As1 0.000 0.000 0.755
As2 0.333 0.667 0.421
As3 0.667 0.333 0.088
Se1 0.000 0.000 0.242
Se2 0.333 0.667 0.909
Se3 0.667 0.333 0.575

=====

# 6
DFT (GGA-PBE) results for a geometry-optimized BaAcTeAs structure.

Properties
symmetry	R3m, No. 160
raw formation energy	-1.56	eV per atom

a = 4.725 Å, b = 4.725 Å, c = 23.905 Å
α = 90.00°, β = 90.00°, γ = 120.00°
Positions (direct):
Ba1 0.000 0.000 0.000
Ba2 0.333 0.667 0.667
Ba3 0.667 0.333 0.333
Ac1 0.000 0.000 0.484
Ac2 0.333 0.667 0.151
Ac3 0.667 0.333 0.818
Te1 0.000 0.000 0.239
Te2 0.333 0.667 0.905
Te3 0.667 0.333 0.572
As1 0.000 0.000 0.751
As2 0.333 0.667 0.417
As3 0.667 0.333 0.084

=====

# 7
DFT (GGA-PBE) results for a geometry-optimized Ba2AcThAs4 structure.

Properties
symmetry	P2/m, No. 10

a = 7.872 Å, b = 4.529 Å, c = 8.042 Å
α = 90.00°, β = 108.94°, γ = 90.00°
Positions (direct):
Ba1 0.000 0.000 0.000
Ba2 0.500 0.500 0.000
Ac1 0.000 0.500 0.500
Th1 0.500 0.000 0.500
As1 0.255 0.000 0.722
As2 0.274 0.500 0.284
As3 0.726 0.500 0.716
As4 0.745 0.000 0.278

=====

# 8
DFT (GGA-PBE) results for a geometry-optimized Ba3Ac2UAs6 structure.

Properties
symmetry	C2/m, No. 12

a = 7.823 Å, b = 7.823 Å, c = 8.002 Å
α = 99.44°, β = 99.44°, γ = 119.95°
Positions (direct):
Ba1 0.000 0.000 0.000
Ba2 0.330 0.670 0.000
Ba3 0.670 0.330 0.000
Ac1 0.166 0.834 0.500
Ac2 0.834 0.166 0.500
U1 0.500 0.500 0.500
As1 0.129 0.429 0.287
As2 0.273 0.273 0.713
As3 0.429 0.129 0.287
As4 0.571 0.871 0.713
As5 0.727 0.727 0.287
As6 0.871 0.571 0.713

=====

# 9
DFT (GGA-PBE) results for a geometry-optimized Ba4Ac3UAs8 structure.

Properties
symmetry	R-3m, No. 166

a = 9.232 Å, b = 9.232 Å, c = 9.232 Å
α = 58.97°, β = 58.97°, γ = 58.97°
Positions (direct):
Ba1 0.000 0.000 0.000
Ba2 0.000 0.500 0.500
Ba3 0.500 0.000 0.500
Ba4 0.500 0.500 0.000
Ac1 0.000 0.000 0.500
Ac2 0.000 0.500 0.000
Ac3 0.500 0.000 0.000
U1 0.500 0.500 0.500
As1 0.244 0.244 0.244
As2 0.269 0.721 0.721
As3 0.279 0.279 0.731
As4 0.279 0.731 0.279
As5 0.721 0.269 0.721
As6 0.721 0.721 0.269
As7 0.731 0.279 0.279
As8 0.756 0.756 0.756

=====

# 10
DFT (GGA-PBE) results for a geometry-optimized AcBeAs2 structure.

Properties
symmetry	P4/mmm, No. 123

a = 4.654 Å, b = 4.654 Å, c = 4.205 Å
α = 90.00°, β = 90.00°, γ = 90.00°
Positions (direct):
Ac1 0.000 0.000 0.000
Be1 0.500 0.500 0.000
As1 0.000 0.500 0.500
As2 0.500 0.000 0.500

=====

# 11
DFT (GGA-PBE) results for a geometry-optimized AcBeAs2 structure.

Properties
symmetry	P4/nmm, No. 129

a = 4.109 Å, b = 4.109 Å, c = 10.371 Å
α = 90.00°, β = 90.00°, γ = 90.00°
Positions (direct):
Ac1 0.250 0.250 0.235
Ac2 0.750 0.750 0.765
Be1 0.250 0.750 0.500
Be2 0.750 0.250 0.500
As1 0.250 0.250 0.616
As2 0.250 0.750 0.000
As3 0.750 0.250 0.000
As4 0.750 0.750 0.384

=====

# 12
DFT (GGA-PBE) results for a geometry-optimized AcBeAs structure.

Properties
symmetry	C2/m, No. 12

a = 6.774 Å, b = 3.911 Å, c = 11.377 Å
α = 90.00°, β = 90.67°, γ = 90.00°
Positions (direct):
Ac1 0.169 0.000 0.164
Ac2 0.331 0.500 0.836
Ac3 0.669 0.500 0.164
Ac4 0.831 0.000 0.836
Be1 0.008 0.500 0.387
Be2 0.492 0.000 0.613
Be3 0.508 0.000 0.387
Be4 0.992 0.500 0.613
As1 0.160 0.000 0.637
As2 0.340 0.500 0.363
As3 0.660 0.500 0.637
As4 0.840 0.000 0.363

=====

Volume, respectively: 154; 205; 135; 329; 142; 154; 271; 401; 543; 91; 88; 75 Å³/f.u..
Electronic total energy, respectively: -5.382; -5.692; -5.433; -4.723; -5.254; -5.018; -5.469; -5.582; -5.414; -4.464; -4.969; -4.476 eV/atom.